This record from the Alexandria database describes La2AlCu after structural relaxation. The functional is PBE-GGA.

E_form: -0.12 eV per atom
total DFT energy (no corrections): -18.16 eV for the cell shown

abc: 5.9070 5.9070 5.9070
angles: 135.55 135.55 64.68
Atoms (fractional coordinates):
Al (0.5000, 0.5000, 0.0000)
Cu (0.7500, 0.2500, 0.5000)
La (0.0000, 0.0000, 0.0000)
La (0.2500, 0.7500, 0.5000)

=====

This record from the Alexandria database describes LaAl4Cu after structural relaxation. The functional is PBE-GGA.

E_form: -0.05 eV per atom
total DFT energy (no corrections): -24.27 eV for the cell shown

abc: 5.5325 5.5325 5.5325
angles: 60.00 60.00 60.00
Atoms (fractional coordinates):
La (0.0000, 0.0000, 0.0000)
Al (0.8772, 0.3743, 0.3743)
Al (0.3743, 0.3743, 0.8772)
Al (0.3743, 0.8772, 0.3743)
Al (0.3743, 0.3743, 0.3743)
Cu (0.7500, 0.7500, 0.7500)

=====

This record from the Alexandria database describes La8Al3Cu2 after structural relaxation. The functional is PBE-GGA.

E_form: -0.11 eV per atom
total DFT energy (no corrections): -60.31 eV for the cell shown

abc: 9.0498 9.0498 5.5399
angles: 90.00 90.00 124.12
Atoms (fractional coordinates):
La (0.3064, 0.6936, 0.0000)
La (0.6936, 0.3064, 0.0000)
La (0.8920, 0.1080, 0.0000)
La (0.1080, 0.8920, 0.0000)
La (0.8242, 0.5846, 0.5000)
La (0.4154, 0.1758, 0.5000)
La (0.5846, 0.8242, 0.5000)
La (0.1758, 0.4154, 0.5000)
Al (0.0000, 0.0000, 0.5000)
Al (0.3406, 0.3406, 0.0000)
Al (0.6594, 0.6594, 0.0000)
Cu (0.7836, 0.2164, 0.5000)
Cu (0.2164, 0.7836, 0.5000)

=====

This record from the Alexandria database describes LaAl2Cu after structural relaxation. The functional is PBE-GGA.

E_form: -0.23 eV per atom
total DFT energy (no corrections): -17.41 eV for the cell shown

abc: 3.0317 3.3726 7.6194
angles: 90.00 90.00 90.00
Atoms (fractional coordinates):
Al (0.0000, 0.0000, 0.0645)
Al (0.0000, 0.0000, 0.4355)
Cu (0.5000, 0.5000, 0.2500)
La (0.5000, 0.5000, 0.7500)